# CsGe3Au3 (PBE, relaxed)
# Mass density   8.026 g/cm³
# ΔH_f (0 K)   -0.5 eV/f.u.
# E above lowest polymorph   0 meV per atom
data_CsGe3Au3
_space_group_name_H-M_alt 'R -3'
_space_group_IT_number 148
_space_group_name_Hall '-R 3'
_cell_length_a 8.7007
_cell_length_b 8.7007
_cell_length_c 17.8303
_cell_angle_alpha 90.00
_cell_angle_beta 90.00
_cell_angle_gamma 120.00
loop_
_atom_site_label
_atom_site_fract_x
_atom_site_fract_y
_atom_site_fract_z
_atom_site_occupancy
Cs1 0.0000 0.0000 0.1610 1
Ge1 0.0218 0.8289 0.4290 1
Au1 0.0252 0.6207 0.3244 1